[1]
# Li2ZrMn, PBEsol geometry, DFT SCAN
# - relative energy among the computed polymorphs (eV/f.u.) = 0.00
# - E_form (eV per atom) = 0.16
data_Li2ZrMn
_chemical_formula_sum 'Li4 Zr2 Mn2'
_cell_length_a 3.044
_cell_length_b 4.148
_cell_length_c 10.160
_cell_angle_alpha 90.00
_cell_angle_beta 90.00
_cell_angle_gamma 90.00
_space_group_name_H-M_alt 'I m m m'
_space_group_IT_number 71
_space_group_name_Hall '-I 2 2'
loop_
_atom_site_label
_atom_site_fract_x
_atom_site_fract_y
_atom_site_fract_z
Li1 0.000 0.000 0.229
Zr1 0.000 0.500 0.000
Mn1 0.000 0.500 0.500

---

[2]
# ZrCu2Au2, PBEsol geometry, DFT SCAN
# - E_form (eV per atom) = -0.29
data_ZrCu2Au2
_chemical_formula_sum 'Zr2 Cu4 Au4'
_cell_length_a 3.558
_cell_length_b 3.558
_cell_length_c 13.100
_cell_angle_alpha 90.00
_cell_angle_beta 90.00
_cell_angle_gamma 90.00
_space_group_name_H-M_alt 'I 4/m m m'
_space_group_IT_number 139
_space_group_name_Hall '-I 4 2'
loop_
_atom_site_label
_atom_site_fract_x
_atom_site_fract_y
_atom_site_fract_z
Zr1 0.000 0.000 0.000
Cu1 0.000 0.500 0.250
Au1 0.000 0.000 0.394

---

[3]
# PrCuSe2, PBEsol geometry, DFT SCAN
# - uncorrected formation energy (eV/f.u.) = -5.64
data_PrCuSe2
_chemical_formula_sum 'Pr4 Cu4 Se8'
_cell_length_a 6.610
_cell_length_b 7.454
_cell_length_c 7.126
_cell_angle_alpha 90.00
_cell_angle_beta 96.42
_cell_angle_gamma 90.00
_space_group_name_H-M_alt 'P 1 21/c 1'
_space_group_IT_number 14
_space_group_name_Hall '-P 2ybc'
loop_
_atom_site_label
_atom_site_fract_x
_atom_site_fract_y
_atom_site_fract_z
Pr1 0.191 0.047 0.301
Cu1 0.439 0.663 0.453
Se1 0.088 0.722 0.499
Se2 0.396 0.108 0.723

---

[4]
# AsAuSe2, PBEsol geometry, DFT SCAN
# - uncorrected formation energy (eV/f.u.) = 0.41
data_AsAuSe2
_chemical_formula_sum 'As1 Au1 Se2'
_cell_length_a 2.802
_cell_length_b 5.373
_cell_length_c 5.374
_cell_angle_alpha 90.00
_cell_angle_beta 90.00
_cell_angle_gamma 90.00
_space_group_name_H-M_alt 'P m m 2'
_space_group_IT_number 25
_space_group_name_Hall 'P 2 -2'
loop_
_atom_site_label
_atom_site_fract_x
_atom_site_fract_y
_atom_site_fract_z
As1 0.000 0.000 0.000
Au1 0.000 0.500 0.500
Se1 0.000 0.000 0.499
Se2 0.000 0.500 0.000

---

[5]
# SnIr2Au2, PBEsol geometry, DFT SCAN
# - E_form (eV per atom) = 0.52
data_SnIr2Au2
_chemical_formula_sum 'Sn2 Ir4 Au4'
_cell_length_a 3.669
_cell_length_b 3.669
_cell_length_c 13.697
_cell_angle_alpha 90.00
_cell_angle_beta 90.00
_cell_angle_gamma 90.00
_space_group_name_H-M_alt 'I 4/m m m'
_space_group_IT_number 139
_space_group_name_Hall '-I 4 2'
loop_
_atom_site_label
_atom_site_fract_x
_atom_site_fract_y
_atom_site_fract_z
Sn1 0.000 0.000 0.000
Ir1 0.000 0.500 0.250
Au1 0.000 0.000 0.400

---

[6]
# LiCa3H, PBEsol geometry, DFT SCAN
# - calculated total energy (eV/atom) = -7.0702
data_LiCa3H
_chemical_formula_sum 'Li1 Ca3 H1'
_cell_length_a 5.122
_cell_length_b 5.122
_cell_length_c 5.122
_cell_angle_alpha 90.00
_cell_angle_beta 90.00
_cell_angle_gamma 90.00
_space_group_name_H-M_alt 'P m -3 m'
_space_group_IT_number 221
_space_group_name_Hall '-P 4 2 3'
loop_
_atom_site_label
_atom_site_fract_x
_atom_site_fract_y
_atom_site_fract_z
Li1 0.000 0.000 0.000
Ca1 0.000 0.500 0.500
H1 0.500 0.500 0.500

---

[7]
# K2Au, PBEsol geometry, DFT SCAN
# - E_form (eV per atom) = -0.30
data_K2Au
_chemical_formula_sum 'K8 Au4'
_cell_length_a 12.316
_cell_length_b 4.878
_cell_length_c 8.878
_cell_angle_alpha 90.00
_cell_angle_beta 121.55
_cell_angle_gamma 90.00
_space_group_name_H-M_alt 'C 1 2/m 1'
_space_group_IT_number 12
_space_group_name_Hall '-C 2y'
loop_
_atom_site_label
_atom_site_fract_x
_atom_site_fract_y
_atom_site_fract_z
K1 0.090 0.000 0.376
K2 0.188 0.500 0.092
Au1 0.116 0.500 0.657

---

[8]
# CaAgTe2, PBEsol geometry, DFT SCAN
# - uncorrected formation energy (eV/f.u.) = -2.51
data_CaAgTe2
_chemical_formula_sum 'Ca1 Ag1 Te2'
_cell_length_a 5.009
_cell_length_b 5.009
_cell_length_c 3.975
_cell_angle_alpha 90.00
_cell_angle_beta 90.00
_cell_angle_gamma 90.00
_space_group_name_H-M_alt 'P 4/m m m'
_space_group_IT_number 123
_space_group_name_Hall '-P 4 2'
loop_
_atom_site_label
_atom_site_fract_x
_atom_site_fract_y
_atom_site_fract_z
Ca1 0.000 0.000 0.000
Ag1 0.500 0.500 0.000
Te1 0.000 0.500 0.500